VASP calculation (GGA+U) on crystalline LiFe2C3O9 at its relaxed geometry.

```
LiFe2C3O9
1.0
5.8596 0.0000 0.0000
0.0000 4.9455 0.0000
-1.9039 0.0000 5.9314
Li Fe C O
1 2 3 9
Direct
0.0000 0.0000 0.0000
0.2142 0.5000 0.7964
0.8852 0.0000 0.4775
0.1289 0.5000 0.3359
0.5253 0.0000 0.1445
0.7518 0.5000 0.7501
0.1248 0.2770 0.4501
0.1248 0.7230 0.4501
0.1470 0.5000 0.1399
0.3361 0.0000 0.9777
0.5278 0.0000 0.3556
0.5540 0.5000 0.7851
0.7440 0.0000 0.1281
0.8714 0.2756 0.7380
0.8714 0.7244 0.7380
```

Output
The value obtained for the calculated volume is 11.46 A^3/atom. The energy relative to the lowest polymorph listed for this composition is 70 meV per atom. As for the density of states at the Fermi level: 0.000 states/eV per cell. Its space group is Pm.